1.
Compound: Tm4Ga2I5
Source: Alexandria
Functional: PBE
Structure: relaxed

Cell and atoms, written as POSCAR:
```
Tm4Ga2I5
1.0
-2.454 3.196 -0.718
-5.898 -3.404 5.002
9.542 6.646 8.637
Tm I Ga
4 5 2
Direct
0.358 0.358 0.716
0.000 0.298 0.000
0.642 0.642 0.284
0.000 0.702 0.000
0.831 0.576 0.662
0.831 0.086 0.662
0.169 0.914 0.338
0.169 0.424 0.338
0.500 0.000 0.000
0.545 0.545 0.089
0.455 0.455 0.911
```

- total magnetization (μB per formula unit) = 0.000
- calculated density (Mg/m³) = 5.08
- ΔE_f (raw) (kJ per mole of atoms) = -74.8
- raw total energy (eV for the cell shown) = -40.2
- space group = Immm (71)



2.
Compound: ErPuInOs
Source: Alexandria
Functional: PBE
Structure: relaxed

Cell and atoms, written as POSCAR:
```
ErPuInOs
1.0
3.287 0.000 0.000
0.000 3.287 0.000
0.000 0.000 8.456
In Er Os Pu
1 1 1 1
Direct
0.000 0.000 0.069
0.500 0.500 0.778
0.000 0.000 0.572
0.500 0.500 0.365
```

- total magnetization (μB per formula unit) = 4.623
- calculated density (Mg/m³) = 13.02
- formation energy (kJ/mol of formula units) = -94
- raw total energy (eV for the cell shown) = -33.8
- space group = P4mm (99)



3.
Compound: LiPr3Nd6
Source: Alexandria
Functional: PBE
Structure: relaxed

Cell and atoms, written as POSCAR:
```
LiPr3Nd6
1.0
5.438 0.000 0.015
0.000 10.605 0.000
-0.033 0.000 11.925
Pr Nd Li
6 12 2
Direct
0.500 0.500 0.000
0.500 0.121 0.287
0.000 0.000 0.500
0.000 0.621 0.213
0.500 0.879 0.713
0.000 0.379 0.787
0.500 0.168 0.928
0.000 0.332 0.428
0.000 0.067 0.761
0.000 0.720 0.882
0.500 0.780 0.382
0.000 0.668 0.572
0.000 0.280 0.118
0.500 0.433 0.261
0.500 0.567 0.739
0.000 0.933 0.239
0.500 0.220 0.618
0.500 0.832 0.072
0.500 0.500 0.500
0.000 0.000 0.000
```

- total magnetization (μB per formula unit) = 0.000
- calculated density (Mg/m³) = 6.25
- formation energy (kJ/mol of formula units) = 119
- raw total energy (eV for the cell shown) = -87.2
- space group = Pnnm (58)



4.
Compound: DyEr2Rh
Source: Alexandria
Functional: PBE
Structure: relaxed

Cell and atoms, written as POSCAR:
```
DyEr2Rh
1.0
3.584 0.000 0.000
1.792 3.104 0.000
1.792 1.035 10.468
Dy Rh Er
1 1 2
Direct
0.000 0.000 0.000
0.500 0.500 0.500
0.890 0.890 0.331
0.110 0.110 0.669
```

- total magnetization (μB per formula unit) = 0.285
- calculated density (Mg/m³) = 8.55
- formation energy (kJ/mol of formula units) = -61
- raw total energy (eV for the cell shown) = -21.7
- space group = R-3m (166)



5.
Compound: Mn2CuRe
Source: Alexandria
Functional: PBE
Structure: relaxed

Cell and atoms, written as POSCAR:
```
Mn2CuRe
1.0
-0.890 0.718 -4.421
-2.866 -0.796 -3.464
-2.625 3.640 0.337
Mn Cu Re
2 1 1
Direct
0.747 0.747 0.739
0.000 0.000 0.014
0.252 0.252 0.235
0.501 0.501 0.512
```

- total magnetization (μB per formula unit) = 4.189
- calculated density (Mg/m³) = 11.57
- formation energy (kJ/mol of formula units) = 89
- raw total energy (eV for the cell shown) = -34.0
- space group = Cm (8)



6.
Compound: Ho3AlH
Source: Alexandria
Functional: PBE
Structure: relaxed

Cell and atoms, written as POSCAR:
```
Ho3AlH
1.0
6.525 0.000 0.000
0.000 6.135 0.205
0.000 -0.558 10.731
Ho H Al
12 4 4
Direct
0.751 0.378 0.373
0.004 0.150 0.627
0.504 0.850 0.873
0.005 0.153 0.126
0.249 0.622 0.627
0.505 0.847 0.374
0.496 0.150 0.127
0.749 0.378 0.873
0.251 0.622 0.127
0.996 0.850 0.373
0.995 0.847 0.874
0.495 0.153 0.626
0.751 0.073 0.480
0.251 0.927 0.020
0.249 0.927 0.520
0.749 0.073 0.980
0.751 0.660 0.128
0.251 0.340 0.372
0.249 0.340 0.872
0.749 0.660 0.628
```

- total magnetization (μB per formula unit) = 0.000
- calculated density (Mg/m³) = 8.07
- raw total energy (eV for the cell shown) = -89.2
- space group = P2_1/c (14)



7.
Compound: Si2TeSe6
Source: Alexandria
Functional: PBE
Structure: relaxed

Cell and atoms, written as POSCAR:
```
Si2TeSe6
1.0
6.491 -0.190 -0.184
1.631 8.659 0.007
1.631 0.288 8.654
Se Si Te
12 4 2
Direct
0.107 0.136 0.598
0.607 0.598 0.136
0.113 0.447 0.287
0.333 0.033 0.208
0.387 0.713 0.553
0.833 0.208 0.033
0.887 0.553 0.713
0.667 0.967 0.792
0.613 0.287 0.447
0.167 0.792 0.967
0.393 0.402 0.864
0.893 0.864 0.402
0.690 0.775 0.621
0.810 0.379 0.225
0.310 0.225 0.379
0.190 0.621 0.775
0.250 0.133 0.867
0.750 0.867 0.133
```

- total magnetization (μB per formula unit) = 0.000
- calculated density (Mg/m³) = 4.44
- ΔE_f (raw) (kJ per mole of atoms) = -18.0
- raw total energy (eV for the cell shown) = -73.1
- space group = C2/c (15)



8.
Compound: CdSb2Cl
Source: Alexandria
Functional: PBE
Structure: relaxed

Cell and atoms, written as POSCAR:
```
CdSb2Cl
1.0
4.798 0.000 0.000
0.000 4.899 0.018
0.000 2.189 5.012
Cd Sb Cl
1 2 1
Direct
0.500 0.250 0.250
0.000 0.065 0.061
0.000 0.435 0.439
0.500 0.750 0.750
```

- total magnetization (μB per formula unit) = 0.000
- calculated density (Mg/m³) = 5.53
- ΔE_f (raw) (kJ per mole of atoms) = -17.9
- raw total energy (eV for the cell shown) = -11.7
- space group = P2/m (10)



9.
Compound: CdFe2Tc
Source: Alexandria
Functional: PBE
Structure: relaxed

Cell and atoms, written as POSCAR:
```
CdFe2Tc
1.0
-2.085 0.687 1.507
-0.861 -0.121 -2.517
-1.971 -8.336 1.076
Fe Tc Cd
2 1 1
Direct
0.000 0.000 0.027
0.500 0.500 0.242
0.000 0.000 0.473
0.500 0.500 0.759
```

- total magnetization (μB per formula unit) = 5.058
- calculated density (Mg/m³) = 9.14
- formation energy (kJ/mol of formula units) = 116
- raw total energy (eV for the cell shown) = -27.0
- space group = Cmm2 (35)



10.
Compound: Zn2PdPt9
Source: Alexandria
Functional: PBE
Structure: relaxed

Cell and atoms, written as POSCAR:
```
Zn2PdPt9
1.0
-3.432 -1.463 -1.263
1.921 -2.306 -2.551
0.624 -8.529 8.182
Pt Zn Pd
9 2 1
Direct
0.000 0.500 0.829
0.500 0.000 0.829
0.500 0.500 0.000
0.500 0.000 0.500
0.500 0.000 0.171
0.500 0.500 0.335
0.000 0.500 0.171
0.500 0.500 0.665
0.000 0.500 0.500
0.000 0.000 0.665
0.000 0.000 0.335
0.000 0.000 0.000
```

- total magnetization (μB per formula unit) = 0.000
- calculated density (Mg/m³) = 18.02
- formation energy (kJ/mol of formula units) = -281
- raw total energy (eV for the cell shown) = -65.0
- space group = P4/mmm (123)



11.
Compound: ZrCd2Si
Source: Alexandria
Functional: PBE
Structure: relaxed

Cell and atoms, written as POSCAR:
```
ZrCd2Si
1.0
4.846 0.000 0.000
2.423 4.197 0.000
2.423 1.399 3.957
Cd Zr Si
2 1 1
Direct
0.000 0.000 0.000
0.750 0.750 0.750
0.250 0.250 0.250
0.500 0.500 0.500
```

- total magnetization (μB per formula unit) = 0.109
- calculated density (Mg/m³) = 7.10
- ΔE_f (raw) (kJ per mole of atoms) = 16.4
- raw total energy (eV for the cell shown) = -15.1
- space group = F-43m (216)



12.
Compound: La3PPb
Source: Alexandria
Functional: PBE
Structure: relaxed

Cell and atoms, written as POSCAR:
```
La3PPb
1.0
4.221 -0.001 -0.001
0.002 9.067 -0.351
0.002 2.822 8.625
La Pb P
6 2 2
Direct
0.863 0.380 0.820
0.863 0.620 0.061
0.363 0.380 0.432
0.863 0.009 0.673
0.863 0.768 0.432
0.363 0.009 0.061
0.363 0.694 0.746
0.863 0.194 0.246
0.363 0.194 0.746
0.363 0.694 0.246
```

- total magnetization (μB per formula unit) = 0.732
- calculated density (Mg/m³) = 6.51
- formation energy (kJ/mol of formula units) = -412
- raw total energy (eV for the cell shown) = -56.3
- space group = Cmmm (65)